Record 1
{"formula": "Hf2Be2Cu", "functional": "GGA-PBE", "state": "relaxed", "e_above_lowest_polymorph_mev_per_atom": 539, "e_form_ev_per_atom": 0.358, "n_ef_per_ev_cell": 6.44, "space_group": "P4/mbm, No. 127", "cell": [[-1.991, -1.123, 7.076], [7.101, 0.661, 2.103], [-0.364, 2.814, 0.344]], "species": ["Be", "Be", "Be", "Be", "Hf", "Hf", "Hf", "Hf", "Cu", "Cu"], "fractional_positions": [[0.102, 0.602, 0.500], [0.602, 0.898, 0.500], [0.898, 0.398, 0.500], [0.398, 0.102, 0.500], [0.316, 0.816, 0.000], [0.816, 0.684, 0.000], [0.684, 0.184, 0.000], [0.184, 0.316, 0.000], [0.000, 0.000, 0.000], [0.500, 0.500, 0.000]]}


Record 2
{"formula": "Hf2BeCu", "functional": "GGA-PBE", "state": "relaxed", "e_form_ev_per_atom": 0.530, "n_ef_per_ev_cell": 3.04, "space_group": "R-3m, No. 166", "cell": [[-1.782, -1.862, -1.600], [0.899, -2.841, -0.572], [-4.298, -4.395, 7.024]], "species": ["Be", "Hf", "Hf", "Cu"], "fractional_positions": [[0.500, 0.500, 0.500], [0.098, 0.098, 0.706], [0.902, 0.902, 0.294], [0.000, 0.000, 0.000]]}


Record 3
{"formula": "Hf2BeCu", "functional": "GGA-PBE", "state": "relaxed", "e_form_ev_per_atom": -0.084, "n_ef_per_ev_cell": 3.10, "space_group": "P4/mmm, No. 123", "cell": [[3.124, 0.000, 0.000], [0.000, 3.124, 0.000], [0.000, 0.000, 6.596]], "species": ["Be", "Hf", "Hf", "Cu"], "fractional_positions": [[0.500, 0.500, 0.000], [0.000, 0.000, 0.760], [0.000, 0.000, 0.240], [0.500, 0.500, 0.500]]}


Record 4
{"formula": "HfBe9Cu2", "functional": "GGA-PBE", "state": "relaxed", "e_form_ev_per_atom": -0.144, "n_ef_per_ev_cell": 3.10, "space_group": "R-3m, No. 166", "cell": [[-1.990, 1.078, -3.761], [1.526, -1.549, -3.813], [-4.279, -5.689, -1.928]], "species": ["Hf", "Be", "Be", "Be", "Be", "Be", "Be", "Be", "Be", "Be", "Cu", "Cu"], "fractional_positions": [[0.000, 0.000, 0.000], [0.668, 0.668, 0.996], [0.332, 0.332, 0.004], [0.500, 0.500, 0.500], [0.414, 0.414, 0.256], [0.915, 0.414, 0.256], [0.414, 0.915, 0.256], [0.586, 0.586, 0.744], [0.586, 0.085, 0.744], [0.085, 0.586, 0.744], [0.857, 0.857, 0.429], [0.143, 0.143, 0.571]]}


Record 5
{"formula": "LuHfBeCu", "functional": "GGA-PBE", "state": "relaxed", "e_form_ev_per_atom": -0.012, "n_ef_per_ev_cell": 3.87, "space_group": "F-43m, No. 216", "cell": [[4.637, 0.000, 0.000], [2.318, 4.016, 0.000], [2.318, 1.339, 3.786]], "species": ["Be", "Lu", "Hf", "Cu"], "fractional_positions": [[0.750, 0.750, 0.750], [0.000, 0.000, 0.000], [0.500, 0.500, 0.500], [0.250, 0.250, 0.250]]}


Record 6
{"formula": "HfBeCuMo2", "functional": "GGA-PBE", "state": "relaxed", "e_form_ev_per_atom": 1.471, "n_ef_per_ev_cell": 8.06, "space_group": "P4/mmm, No. 123", "cell": [[-2.872, -0.094, 3.474], [0.126, -4.724, -0.024], [3.473, 0.078, 2.873]], "species": ["Be", "Mo", "Mo", "Hf", "Cu"], "fractional_positions": [[0.500, 0.500, 0.500], [0.000, 0.000, 0.500], [0.500, 0.000, 0.000], [0.000, 0.500, 0.000], [0.000, 0.000, 0.000]]}


Record 7
{"formula": "HfBeCuN2", "functional": "GGA-PBE", "state": "relaxed", "e_above_lowest_polymorph_mev_per_atom": 0, "n_ef_per_ev_cell": 2.20, "space_group": "P4/mmm, No. 123", "cell": [[-2.223, 0.617, -3.406], [0.653, -4.655, -1.270], [-3.417, -1.037, 2.043]], "species": ["Be", "Hf", "Cu", "N", "N"], "fractional_positions": [[0.000, 0.500, 0.000], [0.000, 0.000, 0.000], [0.500, 0.500, 0.500], [0.000, 0.000, 0.500], [0.500, 0.000, 0.000]]}


Record 8
{"formula": "Hf2BeCuN", "functional": "GGA-PBE", "state": "relaxed", "final_energy_ev_per_atom": -7.870, "n_ef_per_ev_cell": 2.42, "space_group": "P4/mmm, No. 123", "cell": [[4.493, 0.000, 0.000], [0.000, 4.493, 0.000], [0.000, 0.000, 3.351]], "species": ["Be", "Hf", "Hf", "Cu", "N"], "fractional_positions": [[0.000, 0.000, 0.500], [0.000, 0.500, 0.000], [0.500, 0.000, 0.000], [0.500, 0.500, 0.500], [0.000, 0.000, 0.000]]}


Please write out number 7 again, unchanged.
{"formula": "HfBeCuN2", "functional": "GGA-PBE", "state": "relaxed", "e_above_lowest_polymorph_mev_per_atom": 0, "n_ef_per_ev_cell": 2.20, "space_group": "P4/mmm, No. 123", "cell": [[-2.223, 0.617, -3.406], [0.653, -4.655, -1.270], [-3.417, -1.037, 2.043]], "species": ["Be", "Hf", "Cu", "N", "N"], "fractional_positions": [[0.000, 0.500, 0.000], [0.000, 0.000, 0.000], [0.500, 0.500, 0.500], [0.000, 0.000, 0.500], [0.500, 0.000, 0.000]]}


Copy entry 7 word for word.
{"formula": "HfBeCuN2", "functional": "GGA-PBE", "state": "relaxed", "e_above_lowest_polymorph_mev_per_atom": 0, "n_ef_per_ev_cell": 2.20, "space_group": "P4/mmm, No. 123", "cell": [[-2.223, 0.617, -3.406], [0.653, -4.655, -1.270], [-3.417, -1.037, 2.043]], "species": ["Be", "Hf", "Cu", "N", "N"], "fractional_positions": [[0.000, 0.500, 0.000], [0.000, 0.000, 0.000], [0.500, 0.500, 0.500], [0.000, 0.000, 0.500], [0.500, 0.000, 0.000]]}